# Ta2TlCu, relaxed, DFT GGA-PBE
# Total DFT energy (no corrections) in eV per atom: -7.17
# Magnetic moment in Bohr magnetons per cell: 0.00
data_Ta2TlCu
_chemical_formula_sum 'Ta2 Tl1 Cu1'
_cell_length_a 2.937
_cell_length_b 2.937
_cell_length_c 8.243
_cell_angle_alpha 90.00
_cell_angle_beta 90.00
_cell_angle_gamma 90.00
_symmetry_space_group_name_H-M 'P 4/m m m'
_symmetry_Int_Tables_number 123
_symmetry_space_group_name_Hall '-P 4 2'
loop_
_atom_site_label
_atom_site_type_symbol
_atom_site_fract_x
_atom_site_fract_y
_atom_site_fract_z
Ta1 Ta 0.000 0.000 0.215
Tl1 Tl 0.500 0.500 0.500
Cu1 Cu 0.500 0.500 0.000